Record 1
VASP calculation (PBE-GGA) on crystalline CsK2Rb2 at its relaxed geometry.

Calculated values
The space group is I4/mmm. For the electronic total energy, the calculation gives -9.43 eV/cell. The formation energy comes out at 0.05 eV per atom.

```
CsK2Rb2
1.0
6.563 0.000 0.000
0.000 6.563 0.000
0.000 0.000 21.871
Cs K Rb
2 4 4
Direct
0.000 0.000 0.000
0.500 0.500 0.500
0.000 0.000 0.403
0.000 0.000 0.597
0.500 0.500 0.097
0.500 0.500 0.903
0.000 0.500 0.250
0.000 0.500 0.750
0.500 0.000 0.250
0.500 0.000 0.750
```

---

Record 2
VASP calculation (PBE-GGA) on crystalline BeTl2Os at its relaxed geometry.

Calculated values
The space group is P4/mmm. For the electronic total energy, the calculation gives -15.10 eV/cell. The formation energy comes out at 1.15 eV per atom.

```
BeTl2Os
1.0
3.069 0.000 0.000
0.000 3.069 0.000
0.000 0.000 7.979
Be Tl Os
1 2 1
Direct
0.000 0.000 0.000
0.500 0.500 0.249
0.500 0.500 0.751
0.000 0.000 0.500
```

---

Record 3
VASP calculation (PBE-GGA) on crystalline Re2SiCl at its relaxed geometry.

Calculated values
The space group is C2/m. For the electronic total energy, the calculation gives -59.67 eV/cell. For the uncorrected formation energy, the calculation gives 225 kJ/mol of formula units.

```
Re2SiCl
1.0
8.192 0.000 0.000
0.000 2.930 0.000
-1.358 0.000 5.126
Re Si Cl
4 2 2
Direct
0.243 0.000 0.205
0.257 0.500 0.795
0.743 0.500 0.205
0.757 0.000 0.795
0.000 0.500 0.000
0.500 0.000 0.000
0.000 0.000 0.500
0.500 0.500 0.500
```